# 1
The following is a PBE calculation of a relaxed Ce3Se2N2 crystal, from Alexandria via LeMat-Bulk.

It has space group C2/m (No. 12), with a = 12.7232 Å, b = 3.9688 Å, c = 7.2008 Å, α = 90.00°, β = 121.97° and γ = 90.00°. The distinct sites, in fractional coordinates, are Ce at (0.0000, 0.0000, 0.0000), Ce at (0.1984, 0.0000, 0.7542), Se at (0.0767, 0.5000, 0.3502) and N at (0.1971, 0.0000, 0.0744).

The calculation puts the uncorrected formation energy at -1.72 eV per atom. As for the relative energy among the computed polymorphs: 0.00 kJ per mole of atoms. The value obtained for the total energy is -7.64 eV per atom.


# 2
The following is a PBE calculation of a relaxed Na2YAlO4 crystal, from Alexandria via LeMat-Bulk.

It has space group P2/m (No. 10), with a = 5.5072 Å, b = 3.2079 Å, c = 5.8033 Å, α = 90.00°, β = 108.84° and γ = 90.00°. The distinct sites, in fractional coordinates, are Na at (0.0000, 0.0000, 0.0000), Na at (0.5000, 0.5000, 0.0000), Y at (0.0000, 0.5000, 0.5000), Al at (0.5000, 0.0000, 0.5000), O at (0.2732, 0.0000, 0.6994) and O at (0.2898, 0.5000, 0.2998).

The calculation puts the uncorrected formation energy at -2.51 eV per atom. The value obtained for the total energy is -6.59 eV per atom.


# 3
The following is a PBE calculation of a relaxed SmGe2HRu2 crystal, from Alexandria via LeMat-Bulk.

It has space group P4/mmm (No. 123), with a = 4.1475 Å, b = 4.1475 Å, c = 5.3111 Å, α = 90.00°, β = 90.00° and γ = 90.00°. The distinct sites, in fractional coordinates, are Sm at (0.0000, 0.0000, 0.0000), Ge at (0.5000, 0.5000, 0.2345), H at (0.0000, 0.0000, 0.5000) and Ru at (0.0000, 0.5000, 0.5000).

The value obtained for the total energy is -6.51 eV per atom.


# 4
The following is a PBE calculation of a relaxed MgB2P crystal, from Alexandria via LeMat-Bulk.

It has space group Cm (No. 8), with a = 7.3884 Å, b = 4.3243 Å, c = 7.7154 Å, α = 90.00°, β = 113.99° and γ = 90.00°. The distinct sites, in fractional coordinates, are Mg at (0.0000, 0.0000, 0.0000), Mg at (0.0447, 0.5000, 0.6501), B at (0.0323, 0.5000, 0.3064), B at (0.3336, 0.0000, 0.0905), B at (0.3751, 0.3131, 0.2258), P at (0.2943, 0.0000, 0.8182) and P at (0.3115, 0.5000, 0.4352).

As for the relative energy among the computed polymorphs: 11.51 kJ per mole of atoms. The value obtained for the total energy is -5.07 eV per atom. As for the formation enthalpy at 0 K: 2.0 kJ per mole of atoms.


# 5
The following is a PBE calculation of a relaxed Tb2Cu3Pt crystal, from Alexandria via LeMat-Bulk.

It has space group Fmmm (No. 69), with a = 7.1553 Å, b = 8.5518 Å, c = 14.9710 Å, α = 90.00°, β = 90.00° and γ = 90.00°. The distinct sites, in fractional coordinates, are Tb at (0.2473, 0.0000, 0.0000), Tb at (0.2500, 0.2500, 0.2500), Cu at (0.0000, 0.0000, 0.3369), Cu at (0.0000, 0.2428, 0.4192) and Pt at (0.0000, 0.0000, 0.1662).

As for the relative energy among the computed polymorphs: 0.00 kJ per mole of atoms. The value obtained for the total energy is -5.12 eV per atom. As for the formation enthalpy at 0 K: -50.6 kJ per mole of atoms.